VASP calculation (PBE-GGA) on a geometry-optimized AcNd3Co structure.

Properties
Energy relative to the elements, meV per atom: 2
Volume, Å³ per atom: 33.36
N(E_F), states/eV per atom: 1.109
Total magnetic moment, μB per formula unit: 0.0
ρ, kg/m3: 7155
Crystal system: monoclinic

a = 9.776 Å, b = 6.753 Å, c = 10.269 Å
α = 90.00°, β = 100.24°, γ = 90.00°
Space group P2_1/c (No. 14)
One atom of each set of equivalent atoms:
Ac  0.075  0.075  0.182
Nd  0.180  0.584  0.050
Nd  0.312  0.074  0.924
Nd  0.451  0.590  0.828
Co  0.426  0.736  0.572

***

VASP calculation (PBE-GGA) on a geometry-optimized Nd2ICl structure.

Properties
Volume, Å³ per atom: 28.47
N(E_F), states/eV per atom: 0.471
Total magnetic moment, μB per formula unit: 0.0
E_form (uncorrected), kcal/mol of atoms: -24.96
ρ, kg/m3: 6574
Crystal system: trigonal

a = 3.7470 Å, b = 3.7470 Å, c = 28.0973 Å
α = 90.00°, β = 90.00°, γ = 120.00°
Space group R-3m (No. 166, hexagonal axes)
One atom of each set of equivalent atoms:
Nd  0.0000  0.0000  0.2438
I  0.0000  0.0000  0.0000
Cl  0.0000  0.0000  0.5000

***

VASP calculation (PBE-GGA) on a geometry-optimized Rb2CoAuBr6 structure.

Properties
Volume, Å³ per atom: 32.16
N(E_F), states/eV per atom: 1.047
Total magnetic moment, μB per formula unit: 2.0
E_form (uncorrected), kcal/mol of atoms: -18.29
ρ, kg/m3: 4679
Crystal system: tetragonal

a = 7.722 Å, b = 7.722 Å, c = 10.786 Å
α = 90.00°, β = 90.00°, γ = 90.00°
Space group I4/mmm (No. 139)
One atom of each set of equivalent atoms:
Rb  0.000  0.500  0.250
Co  0.000  0.000  0.000
Au  0.000  0.000  0.500
Br  0.000  0.000  0.268
Br  0.220  0.220  0.000

***

Question: What is the ρ in the second record?
Answer: 6574 kg/m3

***

Please write out number 2 again, unchanged.
VASP calculation (PBE-GGA) on a geometry-optimized Nd2ICl structure.

Properties
Volume, Å³ per atom: 28.47
N(E_F), states/eV per atom: 0.471
Total magnetic moment, μB per formula unit: 0.0
E_form (uncorrected), kcal/mol of atoms: -24.96
ρ, kg/m3: 6574
Crystal system: trigonal

a = 3.7470 Å, b = 3.7470 Å, c = 28.0973 Å
α = 90.00°, β = 90.00°, γ = 120.00°
Space group R-3m (No. 166, hexagonal axes)
One atom of each set of equivalent atoms:
Nd  0.0000  0.0000  0.2438
I  0.0000  0.0000  0.0000
Cl  0.0000  0.0000  0.5000

***

Question: Look up the ρ of the third one.
Answer: 4679 kg/m3